[1]
Here is a relaxed KTe2Pt crystal from Alexandria. Energies are from PBE-GGA.

Lattice parameters (Å, degrees): 8.4187 8.4187 8.4187 28.60 28.60 28.60
Positions (direct):
K (0.0000, 0.0000, 0.0000)
Te (0.5547, 0.5547, 0.5547)
Te (0.7749, 0.7749, 0.7749)
Pt (0.1652, 0.1652, 0.1652)

Output
**Uncorrected formation energy**: -2.04 eV/f.u.
**Space-group type**: R3m, No. 160
**Magnetization**: 0.00 μB per formula unit

=====

[2]
Here is a relaxed K2TePt crystal from Alexandria. Energies are from PBE-GGA.

Lattice parameters (Å, degrees): 5.4072 5.4072 4.5100 90.00 90.00 116.90
Positions (direct):
K (0.0000, 0.5000, 0.0000)
K (0.5000, 0.0000, 0.0000)
Te (0.0000, 0.0000, 0.5000)
Pt (0.5000, 0.5000, 0.5000)

Output
**Uncorrected formation energy**: -1.12 eV/f.u.
**Space-group type**: Cmmm, No. 65
**Magnetization**: 0.00 μB per formula unit

=====

[3]
Here is a relaxed K2TePt crystal from Alexandria. Energies are from PBE-GGA.

Lattice parameters (Å, degrees): 2.9934 6.2328 6.7841 90.00 90.00 90.00
Positions (direct):
K (0.0000, 0.0000, 0.0000)
K (0.5000, 0.5000, 0.5000)
Te (0.0000, 0.0000, 0.5000)
Pt (0.5000, 0.5000, 0.0000)

Output
**Uncorrected formation energy**: -0.40 eV/f.u.
**Space-group type**: Pmmm, No. 47
**Magnetization**: 0.31 μB per formula unit

=====

[4]
Here is a relaxed K2TePt crystal from Alexandria. Energies are from PBE-GGA.

Lattice parameters (Å, degrees): 9.6191 9.6191 9.6191 27.76 27.76 27.76
Positions (direct):
K (0.0000, 0.0000, 0.0000)
K (0.1626, 0.1626, 0.1626)
Te (0.4145, 0.4145, 0.4145)
Pt (0.7480, 0.7480, 0.7480)

Output
**Uncorrected formation energy**: -2.14 eV/f.u.
**Space-group type**: R3m, No. 160
**Magnetization**: 0.00 μB per formula unit

=====

[5]
Here is a relaxed K2Te2Pt crystal from Alexandria. Energies are from PBE-GGA.

Lattice parameters (Å, degrees): 8.2440 8.2440 4.0893 104.21 104.21 41.15
Positions (direct):
K (0.1395, 0.1395, 0.1384)
K (0.8605, 0.8605, 0.8616)
Te (0.3844, 0.3844, 0.3856)
Te (0.6156, 0.6156, 0.6144)
Pt (0.5000, 0.5000, 0.0000)

Output
**Uncorrected formation energy**: -4.07 eV/f.u.
**Energy above the most stable polymorph in this dataset**: 5 meV per atom
**Space-group type**: C2/m, No. 12
**Magnetization**: 0.00 μB per formula unit

=====

[6]
Here is a relaxed KTe2Pt crystal from Alexandria. Energies are from PBE-GGA.

Lattice parameters (Å, degrees): 9.9311 9.9311 9.9311 23.98 23.98 23.98
Positions (direct):
K (0.0000, 0.0000, 0.0000)
Te (0.1197, 0.1197, 0.1197)
Te (0.8803, 0.8803, 0.8803)
Pt (0.5000, 0.5000, 0.5000)

Output
**Uncorrected formation energy**: -1.37 eV/f.u.
**Space-group type**: R-3m, No. 166
**Magnetization**: 0.00 μB per formula unit

=====

[7]
Here is a relaxed KTe2Pt crystal from Alexandria. Energies are from PBE-GGA.

Lattice parameters (Å, degrees): 6.0012 6.0012 6.0012 136.51 136.51 63.19
Positions (direct):
K (0.0000, 0.0000, 0.0000)
Te (0.5000, 0.5000, 0.0000)
Te (0.7500, 0.2500, 0.5000)
Pt (0.2500, 0.7500, 0.5000)

Output
**Uncorrected formation energy**: 0.31 eV/f.u.
**Space-group type**: I-4m2, No. 119
**Magnetization**: 0.00 μB per formula unit

=====

[8]
Here is a relaxed K2TePt crystal from Alexandria. Energies are from PBE-GGA.

Lattice parameters (Å, degrees): 4.9003 6.0904 6.0904 52.95 90.00 90.00
Positions (direct):
K (0.0000, 0.0000, 0.0000)
K (0.5000, 0.2972, 0.2972)
Te (0.5000, 0.6131, 0.6131)
Pt (0.0000, 0.6866, 0.6866)

Output
**Uncorrected formation energy**: -2.44 eV/f.u.
**Space-group type**: Amm2, No. 38
**Magnetization**: 0.00 μB per formula unit

=====

[9]
Here is a relaxed KTe2Pt crystal from Alexandria. Energies are from PBE-GGA.

Lattice parameters (Å, degrees): 6.9136 6.9136 6.9136 105.25 105.25 118.28
Positions (direct):
K (0.0000, 0.0000, 0.0000)
K (0.7500, 0.2500, 0.5000)
Te (0.2188, 0.6250, 0.0938)
Te (0.3750, 0.4688, 0.5938)
Te (0.5312, 0.1250, 0.9062)
Te (0.8750, 0.7812, 0.4062)
Pt (0.2500, 0.7500, 0.5000)
Pt (0.5000, 0.5000, 0.0000)

Output
**Uncorrected formation energy**: -1.96 eV/f.u.
**Space-group type**: I-42d, No. 122
**Magnetization**: 0.00 μB per formula unit

=====

[10]
Here is a relaxed K2TePt crystal from Alexandria. Energies are from PBE-GGA.

Lattice parameters (Å, degrees): 6.0413 6.0413 6.0413 135.80 135.80 64.28
Positions (direct):
K (0.2500, 0.7500, 0.5000)
K (0.7500, 0.2500, 0.5000)
Te (0.0000, 0.0000, 0.0000)
Pt (0.5000, 0.5000, 0.0000)

Output
**Uncorrected formation energy**: -1.01 eV/f.u.
**Space-group type**: I4/mmm, No. 139
**Magnetization**: 0.00 μB per formula unit

=====

[11]
Here is a relaxed K2TePt crystal from Alexandria. Energies are from PBE-GGA.

Lattice parameters (Å, degrees): 10.7971 10.7971 10.7971 18.92 18.92 18.92
Positions (direct):
K (0.2441, 0.2441, 0.2441)
K (0.7559, 0.7559, 0.7559)
Te (0.0000, 0.0000, 0.0000)
Pt (0.5000, 0.5000, 0.5000)

Output
**Uncorrected formation energy**: 0.10 eV/f.u.
**Space-group type**: R-3m, No. 166
**Magnetization**: 0.00 μB per formula unit

=====

[12]
Here is a relaxed K2TePt crystal from Alexandria. Energies are from PBE-GGA.

Lattice parameters (Å, degrees): 4.5638 4.5638 5.1077 90.00 90.00 90.00
Positions (direct):
K (0.0000, 0.5000, 0.0000)
K (0.5000, 0.0000, 0.0000)
Te (0.0000, 0.0000, 0.5000)
Pt (0.5000, 0.5000, 0.5000)

Output
**Uncorrected formation energy**: -0.96 eV/f.u.
**Space-group type**: P4/mmm, No. 123
**Magnetization**: 0.00 μB per formula unit

=====

[13]
Here is a relaxed K2Te4Pt crystal from Alexandria. Energies are from PBE-GGA.

Lattice parameters (Å, degrees): 9.5016 9.5016 9.5016 146.33 146.33 48.36
Positions (direct):
K (0.1423, 0.1423, 0.0000)
K (0.8577, 0.8577, 0.0000)
Te (0.0000, 0.5000, 0.5000)
Te (0.3489, 0.3489, 0.0000)
Te (0.5000, 0.0000, 0.5000)
Te (0.6511, 0.6511, 0.0000)
Pt (0.5000, 0.5000, 0.0000)

Output
**Uncorrected formation energy**: -2.42 eV/f.u.
**Space-group type**: I4/mmm, No. 139
**Magnetization**: 0.00 μB per formula unit

=====

[14]
Here is a relaxed KTe2Pt crystal from Alexandria. Energies are from PBE-GGA.

Lattice parameters (Å, degrees): 6.3053 6.3053 6.3947 119.86 119.86 36.52
Positions (direct):
K (0.0000, 0.0000, 0.0000)
Te (0.1705, 0.1705, 0.6648)
Te (0.8295, 0.8295, 0.3352)
Pt (0.5000, 0.5000, 0.5000)

Output
**Uncorrected formation energy**: -2.14 eV/f.u.
**Space-group type**: C2/m, No. 12
**Magnetization**: 0.00 μB per formula unit

=====

[15]
Here is a relaxed K4TePt crystal from Alexandria. Energies are from PBE-GGA.

Lattice parameters (Å, degrees): 6.4692 6.4692 6.4692 60.00 60.00 60.00
Positions (direct):
K (0.1249, 0.1249, 0.1249)
K (0.1249, 0.1249, 0.6253)
K (0.1249, 0.6253, 0.1249)
K (0.6253, 0.1249, 0.1249)
Te (0.5000, 0.5000, 0.5000)
Pt (0.7500, 0.7500, 0.7500)

Output
**Uncorrected formation energy**: 0.97 eV/f.u.
**Space-group type**: F-43m, No. 216
**Magnetization**: 0.00 μB per formula unit

=====

[16]
Here is a relaxed K2TePt crystal from Alexandria. Energies are from PBE-GGA.

Lattice parameters (Å, degrees): 3.3567 3.3567 9.9953 90.00 90.00 90.00
Positions (direct):
K (0.0000, 0.0000, 0.2234)
K (0.0000, 0.0000, 0.7766)
Te (0.5000, 0.5000, 0.5000)
Pt (0.5000, 0.5000, 0.0000)

Output
**Uncorrected formation energy**: -0.69 eV/f.u.
**Space-group type**: P4/mmm, No. 123
**Magnetization**: 0.00 μB per formula unit

=====

[17]
Here is a relaxed KTe2Pt crystal from Alexandria. Energies are from PBE-GGA.

Lattice parameters (Å, degrees): 3.6499 3.6499 9.3692 90.00 90.00 90.00
Positions (direct):
K (0.0000, 0.0000, 0.0000)
Te (0.0000, 0.0000, 0.3682)
Te (0.5000, 0.5000, 0.7518)
Pt (0.5000, 0.5000, 0.4618)

Output
**Uncorrected formation energy**: -1.04 eV/f.u.
**Space-group type**: P4mm, No. 99
**Magnetization**: 0.00 μB per formula unit

=====

[18]
Here is a relaxed KTe2Pt crystal from Alexandria. Energies are from PBE-GGA.

Lattice parameters (Å, degrees): 6.4774 6.4774 5.9814 114.42 114.42 35.90
Positions (direct):
K (0.0000, 0.0000, 0.0000)
Te (0.6587, 0.6587, 0.6895)
Te (0.8216, 0.8216, 0.3468)
Pt (0.2451, 0.2451, 0.5286)

Output
**Uncorrected formation energy**: -2.20 eV/f.u.
**Space-group type**: Cm, No. 8
**Magnetization**: 0.00 μB per formula unit

=====

[19]
Here is a relaxed KTe2Pt crystal from Alexandria. Energies are from PBE-GGA.

Lattice parameters (Å, degrees): 8.2955 8.2955 8.2955 29.32 29.32 29.32
Positions (direct):
K (0.0000, 0.0000, 0.0000)
Te (0.2232, 0.2232, 0.2232)
Te (0.7768, 0.7768, 0.7768)
Pt (0.5000, 0.5000, 0.5000)

Output
**Uncorrected formation energy**: -1.94 eV/f.u.
**Space-group type**: R-3m, No. 166
**Magnetization**: 0.00 μB per formula unit

=====

[20]
Here is a relaxed KTePt3 crystal from Alexandria. Energies are from PBE-GGA.

Lattice parameters (Å, degrees): 5.0726 5.0726 5.0726 90.00 90.00 90.00
Positions (direct):
K (0.0000, 0.0000, 0.0000)
Te (0.5000, 0.5000, 0.5000)
Pt (0.0000, 0.5000, 0.5000)
Pt (0.5000, 0.0000, 0.5000)
Pt (0.5000, 0.5000, 0.0000)

Output
**Uncorrected formation energy**: 1.38 eV/f.u.
**Energy above the most stable polymorph in this dataset**: 0 meV per atom
**Space-group type**: Pm-3m, No. 221
**Magnetization**: 0.00 μB per formula unit